No. 1
VASP calculation (PBEsol) on a relaxed structure of TlPb.

Cell and atoms, written as POSCAR:
```
TlPb
1.0
3.397 0.000 0.000
-1.698 2.942 0.000
0.000 0.000 5.798
Pb Tl
1 1
direct
0.000 0.000 0.000
0.333 0.667 0.500
```

Results
Formation enthalpy at 0 K = 0.04 eV/f.u.
M_tot = 0.00 μB per formula unit

***

No. 2
VASP calculation (PBEsol) on a relaxed structure of BiSbI2O.

Cell and atoms, written as POSCAR:
```
BiSbI2O
1.0
-3.730 4.759 0.564
-2.428 -2.486 4.918
4.085 2.796 3.430
I Sb Bi O
2 1 1 1
direct
0.000 0.000 0.500
0.000 0.500 0.000
0.500 0.000 0.000
0.000 0.000 0.000
0.500 0.500 0.500
```

Results
M_tot = 3.42 μB per formula unit
ΔE_f (raw) = 4.44 eV/f.u.

***

No. 3
VASP calculation (PBEsol) on a relaxed structure of SrTa2Mo.

Cell and atoms, written as POSCAR:
```
SrTa2Mo
1.0
2.952 0.002 0.000
-1.124 2.730 0.000
0.000 0.000 10.063
Mo Sr Ta
1 1 2
direct
0.500 0.500 0.500
0.500 0.500 0.000
0.000 0.000 0.295
0.000 0.000 0.705
```

Results
Formation enthalpy at 0 K = 2.26 eV/f.u.
M_tot = 0.00 μB per formula unit
ΔE to the lowest computed polymorph = 0 meV/atom

***

No. 4
VASP calculation (PBEsol) on a relaxed structure of TlCo2Sb.

Cell and atoms, written as POSCAR:
```
TlCo2Sb
1.0
-0.356 -1.373 2.831
2.440 -3.459 -1.370
3.687 2.028 1.447
Sb Tl Co
1 1 2
direct
0.500 0.500 0.500
0.500 0.000 0.000
0.000 0.000 0.500
0.000 0.500 0.000
```

Results
M_tot = 1.57 μB per formula unit
ΔE to the lowest computed polymorph = 108 meV/atom
ΔE_f (raw) = 1.58 eV/f.u.

***

No. 5
VASP calculation (PBEsol) on a relaxed structure of Li5MgTi12O24.

Cell and atoms, written as POSCAR:
```
Li5MgTi12O24
1.0
-3.650 -3.248 -3.324
2.553 -2.375 4.771
-11.274 4.305 8.175
Li Mg Ti O
5 1 12 24
direct
0.000 0.000 0.958
0.000 0.000 0.711
0.333 0.667 0.624
0.333 0.667 0.383
0.667 0.333 0.036
0.000 0.000 0.336
0.500 0.500 0.832
0.837 0.675 0.502
0.500 0.000 0.832
0.667 0.333 0.667
0.333 0.667 0.997
0.000 0.500 0.832
0.325 0.163 0.502
0.837 0.163 0.502
0.659 0.830 0.162
0.667 0.333 0.291
0.170 0.341 0.162
0.170 0.830 0.162
0.636 0.818 0.911
0.182 0.364 0.911
0.667 0.333 0.903
0.817 0.634 0.754
0.817 0.183 0.754
0.366 0.183 0.754
0.694 0.847 0.426
0.182 0.818 0.911
0.517 0.483 0.580
0.517 0.035 0.580
0.333 0.667 0.762
0.667 0.333 0.422
0.000 0.000 0.575
0.153 0.306 0.426
0.153 0.847 0.426
0.486 0.514 0.086
0.965 0.483 0.580
0.322 0.161 0.247
0.839 0.161 0.247
0.839 0.678 0.247
0.000 0.000 0.097
0.333 0.667 0.238
0.486 0.971 0.086
0.029 0.514 0.086
```

Results
M_tot = 0.00 μB per formula unit
ΔE_f (raw) = -120.18 eV/f.u.

***

No. 6
VASP calculation (PBEsol) on a relaxed structure of Te2MoCl.

Cell and atoms, written as POSCAR:
```
Te2MoCl
1.0
-1.889 0.040 -2.461
-3.177 -2.459 2.398
-0.194 6.862 2.216
Mo Te Cl
1 2 1
direct
0.000 0.500 0.000
0.668 0.668 0.336
0.332 0.332 0.664
0.500 0.000 0.000
```

Results
M_tot = 0.00 μB per formula unit
ΔE to the lowest computed polymorph = 303 meV/atom
ΔE_f (raw) = 0.70 eV/f.u.

***

No. 7
VASP calculation (PBEsol) on a relaxed structure of BeFe2Os.

Cell and atoms, written as POSCAR:
```
BeFe2Os
1.0
-1.095 2.020 -1.163
-1.725 1.434 1.265
4.820 5.775 2.645
Be Os Fe
1 1 2
direct
0.000 0.000 0.000
0.500 0.500 0.500
0.256 0.256 0.233
0.744 0.744 0.767
```

Results
Formation enthalpy at 0 K = 0.62 eV/f.u.
M_tot = 3.34 μB per formula unit

***

No. 8
VASP calculation (PBEsol) on a relaxed structure of HgP2O2.

Cell and atoms, written as POSCAR:
```
HgP2O2
1.0
-3.776 -1.120 0.692
0.358 -2.897 -2.733
1.610 -3.201 3.604
P Hg O
2 1 2
direct
0.500 0.500 0.500
0.000 0.000 0.500
0.000 0.000 0.000
0.000 0.500 0.000
0.500 0.000 0.000
```

Results
M_tot = 0.00 μB per formula unit
ΔE_f (raw) = 4.89 eV/f.u.

***

No. 9
VASP calculation (PBEsol) on a relaxed structure of Li2CaN2.

Cell and atoms, written as POSCAR:
```
Li2CaN2
1.0
2.424 0.000 0.000
0.000 6.226 0.000
0.000 0.000 6.226
Ca Li N
2 4 4
direct
0.000 0.000 0.000
0.000 0.500 0.500
0.000 0.386 0.886
0.000 0.886 0.614
0.000 0.614 0.114
0.000 0.114 0.386
0.500 0.183 0.683
0.500 0.683 0.817
0.500 0.817 0.317
0.500 0.317 0.183
```

Results
M_tot = 0.00 μB per formula unit
ΔE_f (raw) = -0.16 eV/f.u.

***

No. 10
VASP calculation (PBEsol) on a relaxed structure of CaNbCr3.

Cell and atoms, written as POSCAR:
```
CaNbCr3
1.0
-0.755 -1.773 4.030
4.254 -1.350 0.203
1.138 3.872 1.916
Cr Nb Ca
3 1 1
direct
0.000 0.500 0.000
0.000 0.000 0.500
0.500 0.000 0.000
0.500 0.500 0.500
0.000 0.000 0.000
```

Results
Formation enthalpy at 0 K = 11.44 eV/f.u.
M_tot = 8.43 μB per formula unit

***

No. 11
VASP calculation (PBEsol) on a relaxed structure of TlSb2Pb.

Cell and atoms, written as POSCAR:
```
TlSb2Pb
1.0
3.908 0.000 0.000
0.000 5.388 0.000
-1.954 -2.694 5.383
Pb Sb Tl
1 2 1
direct
0.263 0.763 0.526
0.021 0.021 0.042
0.728 0.228 0.456
0.488 0.488 0.976
```

Results
M_tot = 0.00 μB per formula unit
ΔE_f (raw) = 0.20 eV/f.u.

***

No. 12
VASP calculation (PBEsol) on a relaxed structure of SrLaCr2.

Cell and atoms, written as POSCAR:
```
SrLaCr2
1.0
-1.262 3.090 -1.391
-3.316 -2.203 -1.885
-3.712 0.931 5.442
Cr La Sr
2 1 1
direct
0.000 0.000 0.861
0.000 0.000 0.139
0.500 0.500 0.000
0.500 0.500 0.500
```

Results
Formation enthalpy at 0 K = 3.53 eV/f.u.
M_tot = 0.00 μB per formula unit

***

No. 13
VASP calculation (PBEsol) on a relaxed structure of AlBSb2Te.

Cell and atoms, written as POSCAR:
```
AlBSb2Te
1.0
-2.147 1.330 4.481
4.220 -1.568 2.488
2.063 4.841 -0.449
Sb B Te Al
2 1 1 1
direct
0.000 0.500 0.000
0.500 0.000 0.000
0.500 0.500 0.500
0.000 0.000 0.500
0.000 0.000 0.000
```

Results
M_tot = 0.00 μB per formula unit
ΔE_f (raw) = 6.75 eV/f.u.

***

No. 14
VASP calculation (PBEsol) on a relaxed structure of Cu3TcSe.

Cell and atoms, written as POSCAR:
```
Cu3TcSe
1.0
-3.682 -0.690 2.569
1.914 -3.734 1.740
1.847 2.493 3.317
Cu Tc Se
3 1 1
direct
0.000 0.500 0.000
0.000 0.000 0.500
0.500 0.000 0.000
0.000 0.000 0.000
0.500 0.500 0.500
```

Results
M_tot = 0.01 μB per formula unit
ΔE_f (raw) = 7.83 eV/f.u.

***

No. 15
VASP calculation (PBEsol) on a relaxed structure of Li3SnO.

Cell and atoms, written as POSCAR:
```
Li3SnO
1.0
-3.030 2.545 0.775
-0.295 -1.488 3.736
2.644 2.751 1.305
Sn O Li
1 1 3
direct
0.500 0.500 0.500
0.000 0.000 0.000
0.000 0.500 0.000
0.000 0.000 0.500
0.500 0.000 0.000
```

Results
M_tot = 0.00 μB per formula unit
ΔE_f (raw) = -4.67 eV/f.u.

***

No. 16
VASP calculation (PBEsol) on a relaxed structure of Ti2BiB.

Cell and atoms, written as POSCAR:
```
Ti2BiB
1.0
4.502 0.000 0.000
2.251 3.898 0.000
2.251 1.299 3.675
B Bi Ti
1 1 2
direct
0.000 0.000 0.000
0.500 0.500 0.500
0.250 0.250 0.250
0.750 0.750 0.750
```

Results
Formation enthalpy at 0 K = 2.12 eV/f.u.
M_tot = 0.01 μB per formula unit

***

No. 17
VASP calculation (PBEsol) on a relaxed structure of Li2AlCd.

Cell and atoms, written as POSCAR:
```
Li2AlCd
1.0
3.297 0.000 0.000
0.000 4.520 0.000
-1.649 -2.260 4.370
Cd Al Li
1 1 2
direct
0.256 0.756 0.512
0.494 0.494 0.988
0.003 0.003 0.006
0.747 0.247 0.495
```

Results
Formation enthalpy at 0 K = -0.64 eV/f.u.
M_tot = 0.00 μB per formula unit

***

No. 18
VASP calculation (PBEsol) on a relaxed structure of Sc2Si4W3.

Cell and atoms, written as POSCAR:
```
Sc2Si4W3
1.0
6.507 0.000 0.000
0.000 6.722 0.000
0.000 0.000 12.565
Sc Si W
8 16 12
direct
0.505 0.330 0.591
0.005 0.170 0.909
0.495 0.670 0.091
0.995 0.830 0.409
0.495 0.670 0.409
0.995 0.830 0.091
0.505 0.330 0.909
0.005 0.170 0.591
0.333 0.038 0.456
0.833 0.462 0.044
0.667 0.962 0.956
0.167 0.538 0.544
0.667 0.962 0.544
0.167 0.538 0.956
0.333 0.038 0.044
0.833 0.462 0.456
0.532 0.618 0.750
0.032 0.882 0.750
0.468 0.382 0.250
0.968 0.118 0.250
0.298 0.145 0.750
0.798 0.355 0.750
0.702 0.855 0.250
0.202 0.645 0.250
0.330 0.837 0.624
0.830 0.663 0.876
0.670 0.163 0.124
0.170 0.337 0.376
0.670 0.163 0.376
0.170 0.337 0.124
0.330 0.837 0.876
0.830 0.663 0.624
0.162 0.499 0.750
0.662 0.001 0.750
0.838 0.501 0.250
0.338 0.999 0.250
```

Results
M_tot = 0.00 μB per formula unit
ΔE_f (raw) = -5.87 eV/f.u.

***

No. 19
VASP calculation (PBEsol) on a relaxed structure of MgRhAu2.

Cell and atoms, written as POSCAR:
```
MgRhAu2
1.0
-2.101 0.850 -2.407
-2.542 -0.418 2.072
0.405 5.630 1.634
Au Mg Rh
2 1 1
direct
0.000 0.000 0.992
0.500 0.500 0.254
0.000 0.000 0.511
0.500 0.500 0.744
```

Results
Formation enthalpy at 0 K = -0.85 eV/f.u.
M_tot = 0.00 μB per formula unit

***

No. 20
VASP calculation (PBEsol) on a relaxed structure of Ca2Al4Si6O21.

Cell and atoms, written as POSCAR:
```
Ca2Al4Si6O21
1.0
-0.197 1.588 -6.286
6.298 -6.601 1.250
-12.067 -12.016 -2.658
Ca Al Si O
4 8 12 42
direct
0.393 0.026 0.609
0.893 0.526 0.391
0.376 0.380 0.876
0.876 0.880 0.124
0.876 0.234 0.848
0.376 0.734 0.152
0.004 0.732 0.666
0.504 0.232 0.334
0.812 0.341 0.594
0.312 0.841 0.406
0.706 0.817 0.899
0.206 0.317 0.101
0.505 0.488 0.644
0.005 0.988 0.356
0.423 0.050 0.879
0.923 0.550 0.121
0.013 0.978 0.771
0.513 0.478 0.229
0.128 0.484 0.739
0.628 0.984 0.261
0.063 0.067 0.983
0.563 0.567 0.017
0.193 0.608 0.534
0.693 0.108 0.466
0.609 0.223 0.872
0.109 0.723 0.128
0.738 0.620 0.649
0.238 0.120 0.351
0.537 0.324 0.619
0.037 0.824 0.381
0.528 0.916 0.876
0.028 0.416 0.124
0.260 0.062 0.808
0.760 0.562 0.192
0.377 0.467 0.729
0.877 0.967 0.271
0.295 0.045 0.961
0.795 0.545 0.039
0.357 0.533 0.577
0.857 0.033 0.423
0.864 0.904 0.983
0.364 0.404 0.017
0.948 0.480 0.523
0.448 0.980 0.477
0.895 0.111 0.771
0.395 0.611 0.229
0.140 0.660 0.735
0.640 0.160 0.265
0.027 0.193 0.924
0.527 0.693 0.076
0.176 0.757 0.582
0.676 0.257 0.418
0.882 0.830 0.822
0.382 0.330 0.178
0.968 0.376 0.676
0.468 0.876 0.324
0.064 0.415 0.826
0.564 0.915 0.174
0.064 0.932 0.683
0.564 0.432 0.317
0.075 0.122 0.074
0.575 0.622 0.926
0.761 0.155 0.556
0.261 0.655 0.444
0.634 0.961 0.701
0.134 0.461 0.299
```

Results
M_tot = 2.05 μB per formula unit
ΔE_f (raw) = -90.13 eV/f.u.

***

No. 21
VASP calculation (PBEsol) on a relaxed structure of MgNi3F.

Cell and atoms, written as POSCAR:
```
MgNi3F
1.0
-3.256 0.441 2.896
2.770 -0.944 3.258
0.953 4.253 0.422
Ni Mg F
3 1 1
direct
0.000 0.500 0.000
0.000 0.000 0.500
0.500 0.000 0.000
0.000 0.000 0.000
0.500 0.500 0.500
```

Results
M_tot = 1.44 μB per formula unit
ΔE to the lowest computed polymorph = 1185 meV/atom
ΔE_f (raw) = 6.83 eV/f.u.

***

No. 22
VASP calculation (PBEsol) on a relaxed structure of Li3Rh.

Cell and atoms, written as POSCAR:
```
Li3Rh
1.0
2.662 0.012 0.000
-1.152 2.399 0.000
0.000 0.000 9.350
Rh Li
1 3
direct
0.500 0.500 0.500
0.000 0.000 0.282
0.500 0.500 0.000
0.000 0.000 0.718
```

Results
Formation enthalpy at 0 K = -0.12 eV/f.u.
M_tot = 0.00 μB per formula unit